Entry 1:
Here is crystalline TlFeRh2 at its relaxed geometry from the Alexandria database. Energies are from PBE-GGA.

Results
**Space group**: P4/mmm
**ΔE_f**: 0.12 eV per atom
**Total energy**: -6.26 eV per atom

Cell lengths 4.3253, 4.3253, 3.3974 Å; angles 90.00, 90.00, 90.00 degrees
Closest atoms and distances in Å follow each position.
Fractional coordinates of all 4 atoms:
Tl (0.0000, 0.0000, 0.0000)  8 Rh 2.75, 4 Fe 3.06
Fe (0.5000, 0.5000, 0.0000)  8 Rh 2.75, 4 Tl 3.06
Rh (0.0000, 0.5000, 0.5000)  4 Tl 2.75, 4 Fe 2.75, 4 Rh 3.06
Rh (0.5000, 0.0000, 0.5000)  4 Tl 2.75, 4 Fe 2.75, 4 Rh 3.06

Entry 2:
Here is crystalline TlFeRh2 at its relaxed geometry from the Alexandria database. Energies are from PBE-GGA.

Results
**Space group**: Cm
**ΔE_f**: 0.20 eV per atom
**Total energy**: -6.19 eV per atom

Cell lengths 5.0310, 5.0310, 4.5489 Å; angles 106.92, 106.92, 35.78 degrees
Closest atoms and distances in Å follow each position.
Fractional coordinates of all 4 atoms:
Tl (0.0000, 0.0000, 0.0000)  7 Rh 2.73-2.79, 2 Fe 2.89
Fe (0.7523, 0.7523, 0.3421)  7 Rh 2.60-2.86, 2 Tl 2.89
Rh (0.2453, 0.2453, 0.8100)  4 Fe 2.65-2.86, 3 Tl 2.74-2.79, 2 Rh 2.94
Rh (0.4822, 0.4822, 0.4812)  3 Fe 2.60-2.85, 4 Tl 2.73-2.78

Entry 3:
Here is crystalline TlFeRh2 at its relaxed geometry from the Alexandria database. Energies are from PBE-GGA.

Results
**Space group**: R-3m
**ΔE_f**: 0.24 eV per atom
**Total energy**: -6.14 eV per atom

Cell lengths 8.5246, 8.5246, 8.5246 Å; angles 20.40, 20.40, 20.40 degrees
Closest atoms and distances in Å follow each position.
Fractional coordinates of all 4 atoms:
Tl (0.0000, 0.0000, 0.0000)  6 Rh 2.89, 6 Tl 3.02
Fe (0.5000, 0.5000, 0.5000)  6 Rh 2.55
Rh (0.2411, 0.2411, 0.2411)  3 Fe 2.55
Rh (0.7589, 0.7589, 0.7589)  3 Fe 2.55

Entry 4:
Here is crystalline TlFeRh2 at its relaxed geometry from the Alexandria database. Energies are from PBE-GGA.

Results
**Space group**: F-43m
**ΔE_f**: 0.31 eV per atom
**Total energy**: -6.07 eV per atom

Cell lengths 4.4799, 4.4799, 4.4799 Å; angles 60.00, 60.00, 60.00 degrees
Closest atoms and distances in Å follow each position.
Fractional coordinates of all 4 atoms:
Tl (0.0000, 0.0000, 0.0000)  4 Fe 2.74, 4 Rh 2.74
Fe (0.7500, 0.7500, 0.7500)  4 Tl 2.74, 4 Rh 2.74
Rh (0.2500, 0.2500, 0.2500)  4 Rh 2.74, 4 Tl 2.74
Rh (0.5000, 0.5000, 0.5000)  4 Fe 2.74, 4 Rh 2.74

Entry 5:
Here is crystalline TlFe2Rh2 at its relaxed geometry from the Alexandria database. Energies are from PBE-GGA.

Results
**Space group**: P4/mbm
**ΔE_f**: 0.17 eV per atom
**Total energy**: -6.63 eV per atom

Cell lengths 7.3641, 7.3641, 2.9075 Å; angles 90.00, 90.00, 90.00 degrees
Closest atoms and distances in Å follow each position.
Fractional coordinates of all 10 atoms:
Tl (0.0000, 0.0000, 0.0000)  4 Rh 2.86, 2 Tl 2.91, 8 Fe 3.14
Tl (0.5000, 0.5000, 0.0000)  4 Rh 2.86, 2 Tl 2.91, 8 Fe 3.14
Fe (0.1565, 0.3435, 0.5000)  6 Rh 2.60-2.61, 2 Fe 2.91
Fe (0.3435, 0.8435, 0.5000)  6 Rh 2.60-2.61, 2 Fe 2.91
Fe (0.6565, 0.1565, 0.5000)  6 Rh 2.60-2.61, 2 Fe 2.91
Fe (0.8435, 0.6565, 0.5000)  6 Rh 2.60-2.61, 2 Fe 2.91
Rh (0.1353, 0.6353, 0.0000)  6 Fe 2.60-2.61, 3 Rh 2.82-2.91, 2 Tl 2.86
Rh (0.3647, 0.1353, 0.0000)  6 Fe 2.60-2.61, 3 Rh 2.82-2.91, 2 Tl 2.86
Rh (0.6353, 0.8647, 0.0000)  6 Fe 2.60-2.61, 3 Rh 2.82-2.91, 2 Tl 2.86
Rh (0.8647, 0.3647, 0.0000)  6 Fe 2.60-2.61, 3 Rh 2.82-2.91, 2 Tl 2.86

Entry 6:
Here is crystalline TlFeRh2 at its relaxed geometry from the Alexandria database. Energies are from PBE-GGA.

Results
**Space group**: Imm2
**ΔE_f**: 0.20 eV per atom
**Total energy**: -6.18 eV per atom

Cell lengths 4.9783, 4.9783, 4.9783 Å; angles 133.94, 133.78, 67.31 degrees
Closest atoms and distances in Å follow each position.
Fractional coordinates of all 4 atoms:
Tl (0.0000, 0.0000, 0.0000)  8 Rh 2.76-2.85, 4 Fe 2.84-2.85
Fe (0.2501, 0.7501, 0.5000)  8 Rh 2.76-2.85, 4 Tl 2.84-2.85
Rh (0.4992, 0.4992, 0.0000)  4 Tl 2.76, 4 Fe 2.84-2.85, 4 Rh 2.85
Rh (0.7497, 0.2497, 0.5000)  4 Fe 2.76, 4 Rh 2.85, 4 Tl 2.85

Entry 7:
Here is crystalline Tl2FeRh2 at its relaxed geometry from the Alexandria database. Energies are from PBE-GGA.

Results
**Space group**: P4/mbm
**ΔE_f**: 0.20 eV per atom
**Total energy**: -5.38 eV per atom

Cell lengths 6.6304, 6.6304, 4.1937 Å; angles 90.00, 90.00, 90.00 degrees
Closest atoms and distances in Å follow each position.
Fractional coordinates of all 10 atoms:
Tl (0.1682, 0.3318, 0.0000)  6 Rh 2.74-2.95
Tl (0.3318, 0.8318, 0.0000)  6 Rh 2.74-2.95
Tl (0.6682, 0.1682, 0.0000)  6 Rh 2.74-2.95
Tl (0.8318, 0.6682, 0.0000)  6 Rh 2.74-2.95
Fe (0.0000, 0.0000, 0.5000)  4 Rh 2.55
Fe (0.5000, 0.5000, 0.5000)  4 Rh 2.55
Rh (0.1431, 0.6431, 0.5000)  2 Fe 2.55, 1 Rh 2.68, 2 Tl 2.74
Rh (0.3569, 0.1431, 0.5000)  2 Fe 2.55, 1 Rh 2.68, 2 Tl 2.74
Rh (0.6431, 0.8569, 0.5000)  2 Fe 2.55, 1 Rh 2.68, 2 Tl 2.74
Rh (0.8569, 0.3569, 0.5000)  2 Fe 2.55, 1 Rh 2.68, 2 Tl 2.74

Entry 8:
Here is crystalline Tl4FeRh at its relaxed geometry from the Alexandria database. Energies are from PBE-GGA.

Results
**Space group**: F-43m
**ΔE_f**: 1.03 eV per atom
**Total energy**: -3.19 eV per atom

Cell lengths 6.0557, 6.0557, 6.0557 Å; angles 60.00, 60.00, 60.00 degrees
Closest atoms and distances in Å follow each position.
Fractional coordinates of all 6 atoms:
Tl (0.1253, 0.1253, 0.1253)  6 Tl 3.02-3.04
Tl (0.1253, 0.1253, 0.6241)  6 Tl 3.02-3.04
Tl (0.1253, 0.6241, 0.1253)  6 Tl 3.02-3.04
Tl (0.6241, 0.1253, 0.1253)  6 Tl 3.02-3.04
Fe (0.7500, 0.7500, 0.7500)  12 Tl 3.55, 4 Rh 3.71
Rh (0.5000, 0.5000, 0.5000)  12 Tl 3.55, 4 Fe 3.71

Entry 9:
Here is crystalline TlFeRh at its relaxed geometry from the Alexandria database. Energies are from PBE-GGA.

Results
**Space group**: C2/m
**ΔE_f**: 0.26 eV per atom
**Total energy**: -5.80 eV per atom

Cell lengths 5.2939, 5.2939, 6.7232 Å; angles 107.59, 107.59, 33.65 degrees
Closest atoms and distances in Å follow each position.
Fractional coordinates of all 6 atoms:
Tl (0.0198, 0.0198, 0.2659)  5 Rh 2.82-2.95, 4 Fe 2.89-2.90, 2 Tl 3.06
Tl (0.9802, 0.9802, 0.7341)  5 Rh 2.82-2.95, 4 Fe 2.89-2.90, 2 Tl 3.06
Fe (0.3203, 0.3203, 0.9440)  2 Fe 2.37, 2 Rh 2.59
Fe (0.6797, 0.6797, 0.0560)  2 Fe 2.37, 2 Rh 2.59
Rh (0.3118, 0.3118, 0.3662)  3 Fe 2.59-2.87, 3 Tl 2.82-2.85
Rh (0.6882, 0.6882, 0.6338)  3 Fe 2.59-2.87, 3 Tl 2.82-2.85

Entry 10:
Here is crystalline TlFeRh2 at its relaxed geometry from the Alexandria database. Energies are from PBE-GGA.

Results
**Space group**: P4mm
**ΔE_f**: 0.26 eV per atom
**Total energy**: -6.12 eV per atom

Cell lengths 3.3089, 3.3089, 5.9348 Å; angles 90.00, 90.00, 90.00 degrees
Closest atoms and distances in Å follow each position.
Fractional coordinates of all 4 atoms:
Tl (0.0000, 0.0000, 0.0000)  6 Rh 2.80-3.13, 4 Fe 2.97
Fe (0.5000, 0.5000, 0.3095)  5 Rh 2.53-2.55
Rh (0.0000, 0.0000, 0.4721)  4 Fe 2.53, 1 Tl 2.80, 4 Rh 2.82
Rh (0.5000, 0.5000, 0.7386)  1 Fe 2.55, 4 Tl 2.81, 4 Rh 2.82

Entry 11:
Here is crystalline TlFeRh at its relaxed geometry from the Alexandria database. Energies are from PBE-GGA.

Results
**Space group**: Pmmn
**ΔE_f**: 0.19 eV per atom
**Total energy**: -5.87 eV per atom

Cell lengths 3.8738, 3.8908, 6.9313 Å; angles 90.00, 90.00, 90.00 degrees
Closest atoms and distances in Å follow each position.
Fractional coordinates of all 6 atoms:
Tl (0.2500, 0.2500, 0.1620)  5 Rh 2.82-2.87, 4 Fe 3.04
Tl (0.7500, 0.7500, 0.8380)  5 Rh 2.82-2.87, 4 Fe 3.04
Fe (0.2500, 0.7500, 0.4994)  4 Rh 2.59-2.60, 4 Fe 2.75
Fe (0.7500, 0.2500, 0.5006)  4 Rh 2.59-2.60, 4 Fe 2.75
Rh (0.2500, 0.2500, 0.7477)  4 Fe 2.59-2.60, 5 Tl 2.82-2.87
Rh (0.7500, 0.7500, 0.2523)  4 Fe 2.59-2.60, 5 Tl 2.82-2.87

Entry 12:
Here is crystalline TmFeRh2 at its relaxed geometry from the Alexandria database. Energies are from PBE-GGA.

Results
**Space group**: Fm-3m
**ΔE_f**: -0.43 eV per atom
**Total energy**: -7.34 eV per atom

Cell lengths 4.5143, 4.5143, 4.5143 Å; angles 60.00, 60.00, 60.00 degrees
Closest atoms and distances in Å follow each position.
Fractional coordinates of all 4 atoms:
Tm (0.0000, 0.0000, 0.0000)  8 Rh 2.76
Fe (0.5000, 0.5000, 0.5000)  8 Rh 2.76
Rh (0.2500, 0.2500, 0.2500)  4 Fe 2.76, 4 Tm 2.76
Rh (0.7500, 0.7500, 0.7500)  4 Fe 2.76, 4 Tm 2.76

Entry 13:
Here is crystalline TmFeRh2 at its relaxed geometry from the Alexandria database. Energies are from PBE-GGA.

Results
**Space group**: P4/mmm
**ΔE_f**: -0.44 eV per atom
**Total energy**: -7.35 eV per atom

Cell lengths 4.3699, 4.3699, 3.4055 Å; angles 90.00, 90.00, 90.00 degrees
Closest atoms and distances in Å follow each position.
Fractional coordinates of all 4 atoms:
Tm (0.0000, 0.0000, 0.0000)  8 Rh 2.77, 4 Fe 3.09
Fe (0.5000, 0.5000, 0.0000)  8 Rh 2.77, 4 Tm 3.09
Rh (0.0000, 0.5000, 0.5000)  4 Fe 2.77, 4 Tm 2.77, 4 Rh 3.09
Rh (0.5000, 0.0000, 0.5000)  4 Fe 2.77, 4 Tm 2.77, 4 Rh 3.09

Entry 14:
Here is crystalline TmFeRh2 at its relaxed geometry from the Alexandria database. Energies are from PBE-GGA.

Results
**Space group**: P4/mmm
**ΔE_f**: -0.42 eV per atom
**Total energy**: -7.33 eV per atom

Cell lengths 3.2284, 3.2284, 6.2779 Å; angles 90.00, 90.00, 90.00 degrees
Closest atoms and distances in Å follow each position.
Fractional coordinates of all 4 atoms:
Tm (0.0000, 0.0000, 0.0000)  8 Rh 2.87, 2 Fe 3.14
Fe (0.0000, 0.0000, 0.5000)  8 Rh 2.67
Rh (0.5000, 0.5000, 0.2783)  4 Fe 2.67, 1 Rh 2.78, 4 Tm 2.87
Rh (0.5000, 0.5000, 0.7217)  4 Fe 2.67, 1 Rh 2.78, 4 Tm 2.87